1.
The following is a PBEsol calculation of a relaxed CuHg2Pt crystal, from Alexandria via LeMat-Bulk.

Properties
Its formation energy is 104 meV/atom. Its excess energy over the best structure of this formula in the dataset is 0.0401 eV per atom.

```
CuHg2Pt
1.0
-0.401 1.701 2.406
1.570 -4.193 1.389
4.508 2.473 -0.998
Hg Cu Pt
2 1 1
Direct
0.745 0.490 0.741 Hg
0.255 0.510 0.259 Hg
0.000 0.000 0.500 Cu
0.500 0.000 0.000 Pt
```


2.
The following is a PBEsol calculation of a relaxed CuHg2Pt crystal, from Alexandria via LeMat-Bulk.

Properties
Its formation energy is 79 meV/atom. Its excess energy over the best structure of this formula in the dataset is 0.0151 eV per atom.

```
CuHg2Pt
1.0
2.934 0.000 0.095
0.000 3.779 0.000
-0.198 0.000 6.001
Cu Hg Pt
1 2 1
Direct
0.500 0.500 0.500 Cu
0.000 0.000 0.740 Hg
0.000 0.000 0.260 Hg
0.500 0.500 0.000 Pt
```


3.
The following is a PBEsol calculation of a relaxed CuHgPt2 crystal, from Alexandria via LeMat-Bulk.

Properties
Its formation energy is -60 meV/atom.

```
CuHgPt2
1.0
2.910 0.000 0.000
0.000 2.910 0.000
0.000 0.000 7.171
Hg Pt Cu
1 2 1
Direct
0.500 0.500 0.500 Hg
0.000 0.000 0.781 Pt
0.000 0.000 0.219 Pt
0.500 0.500 0.000 Cu
```